(1)
A relaxed Tb3Tm2Te8 crystal, computed with GGA-PBE.

a b c (Å): 7.483 8.673 8.775
angles (deg): 119.62 106.05 90.00
Fractional positions:
Tb (0.500, 0.000, 0.000)
Tb (0.000, 0.258, 0.000)
Tb (0.000, 0.742, 0.000)
Tm (0.331, 0.250, 0.500)
Tm (0.669, 0.750, 0.500)
Te (0.892, 0.617, 0.235)
Te (0.108, 0.383, 0.765)
Te (0.917, 0.123, 0.246)
Te (0.083, 0.877, 0.754)
Te (0.586, 0.627, 0.752)
Te (0.586, 0.125, 0.752)
Te (0.414, 0.875, 0.248)
Te (0.414, 0.373, 0.248)

Crystal system = monoclinic
Space group = C2/m (12)
Final energy = -4.92 eV/atom
Total moment = 0.000 Bohr magnetons per cell

(2)
A relaxed TbTm2Te4 crystal, computed with GGA-PBE.

a b c (Å): 4.221 7.396 14.818
angles (deg): 90.00 90.00 106.58
Fractional positions:
Tb (0.628, 0.256, 0.750)
Tb (0.372, 0.744, 0.250)
Tm (0.131, 0.262, 0.431)
Tm (0.869, 0.738, 0.931)
Tm (0.131, 0.262, 0.069)
Tm (0.869, 0.738, 0.569)
Te (0.777, 0.555, 0.121)
Te (0.777, 0.555, 0.379)
Te (0.223, 0.445, 0.879)
Te (0.223, 0.445, 0.621)
Te (0.966, 0.933, 0.750)
Te (0.034, 0.067, 0.250)
Te (0.500, 0.000, 0.000)
Te (0.500, 0.000, 0.500)

Crystal system = orthorhombic
Space group = Cmcm (63)
Energy above the most stable polymorph in this dataset = 0.0439 eV per atom
Total moment = 0.000 Bohr magnetons per cell

(3)
A relaxed TbTm2Te crystal, computed with GGA-PBE.

a b c (Å): 3.907 6.323 9.765
angles (deg): 90.00 90.00 108.00
Fractional positions:
Tb (0.946, 0.891, 0.250)
Tb (0.054, 0.109, 0.750)
Tm (0.365, 0.730, 0.536)
Tm (0.635, 0.270, 0.464)
Tm (0.365, 0.730, 0.964)
Tm (0.635, 0.270, 0.036)
Te (0.766, 0.531, 0.750)
Te (0.234, 0.469, 0.250)

Crystal system = orthorhombic
Space group = Cmcm (63)
Energy above the most stable polymorph in this dataset = 0.0000 eV per atom
Total moment = 0.000 Bohr magnetons per cell

- Which formula does entry 2 have?
  TbTm2Te4

- Which value of total moment does entry 1 give?
  0.000 Bohr magnetons per cell

- total moment of number 1 (Tb3Tm2Te8)?
  0.000 Bohr magnetons per cell